A geometry-optimized HgSb2Os structure, computed with PBE-GGA.

Cell: 3.6892 4.8922 4.7542 Å, 90.00 90.00 90.00°
Positions (direct):
Hg1 0.5000 0.0000 0.5000
Sb1 0.5000 0.5000 0.0000
Sb2 0.0000 0.0000 0.0000
Os1 0.0000 0.5000 0.5000

Calculated values
Raw total energy in eV/atom: -4.056
Formation energy from raw total energies in eV/atom: 0.8881